# 1
Here is a geometry-optimized In2GaSn2 structure from Alexandria. Energies are from GGA-PBE.

Calculated values
Electronic total energy ... -3.17 eV per atom

Cell: 8.9004 8.9004 3.4981 Å, 90.00 90.00 90.00°
Positions (direct):
Sn  0.6529  0.8471  0.5000
Sn  0.3471  0.1529  0.5000
Sn  0.8471  0.3471  0.5000
Sn  0.1529  0.6529  0.5000
In  0.1456  0.3544  0.0000
In  0.3544  0.8544  0.0000
In  0.6456  0.1456  0.0000
In  0.8544  0.6456  0.0000
Ga  0.0000  0.0000  0.0000
Ga  0.5000  0.5000  0.0000

# 2
Here is a geometry-optimized InGa6Sn structure from Alexandria. Energies are from GGA-PBE.

Calculated values
Electronic total energy ... -3.07 eV per atom

Cell: 5.1123 5.9970 5.9970 Å, 112.55 90.00 90.00°
Positions (direct):
In  0.5000  0.3816  0.6184
Ga  0.0000  0.6339  0.9335
Ga  0.5000  0.9133  0.0867
Ga  0.5000  0.4289  0.1308
Ga  0.5000  0.8692  0.5711
Ga  0.0000  0.5874  0.4126
Ga  0.0000  0.0665  0.3661
Sn  0.0000  0.1189  0.8811

# 3
Here is a geometry-optimized In2Ga2Sn structure from Alexandria. Energies are from GGA-PBE.

Calculated values
Electronic total energy ... -3.06 eV per atom

Cell: 7.5414 7.5414 4.3025 Å, 90.00 90.00 90.00°
Positions (direct):
In  0.1782  0.6782  0.5000
In  0.6782  0.8218  0.5000
In  0.8218  0.3218  0.5000
In  0.3218  0.1782  0.5000
Ga  0.1246  0.3754  0.0000
Ga  0.6246  0.1246  0.0000
Ga  0.3754  0.8754  0.0000
Ga  0.8754  0.6246  0.0000
Sn  0.0000  0.0000  0.0000
Sn  0.5000  0.5000  0.0000

# 4
Here is a geometry-optimized InGaSn structure from Alexandria. Energies are from GGA-PBE.

Calculated values
Electronic total energy ... -3.21 eV per atom

Cell: 3.4129 5.0433 5.0433 Å, 120.00 90.00 90.00°
Positions (direct):
Sn  0.7298  0.3333  0.6667
Ga  0.9550  0.0000  0.0000
In  0.3152  0.6667  0.3333

# 5
Here is a geometry-optimized In2Ga4Sn structure from Alexandria. Energies are from GGA-PBE.

Calculated values
Electronic total energy ... -2.94 eV per atom

Cell: 5.1786 5.3159 7.1513 Å, 111.82 90.00 90.00°
Positions (direct):
Ga  0.0000  0.8957  0.7915
Ga  0.0000  0.1043  0.2085
Ga  0.5000  0.3982  0.7965
Ga  0.5000  0.6018  0.2035
Sn  0.0000  0.5000  0.0000
In  0.5000  0.1798  0.3597
In  0.5000  0.8202  0.6403

# 6
Here is a geometry-optimized InGaSn structure from Alexandria. Energies are from GGA-PBE.

Calculated values
Electronic total energy ... -3.21 eV per atom

Cell: 3.4368 3.4368 6.7181 Å, 104.82 104.82 90.00°
Positions (direct):
In  0.0096  0.0096  0.0191
Ga  0.6673  0.6673  0.3346
Sn  0.3232  0.3232  0.6463

# 7
Here is a geometry-optimized InGa2Sn structure from Alexandria. Energies are from GGA-PBE.

Calculated values
Electronic total energy ... -3.17 eV per atom

Cell: 4.5553 5.0201 12.2682 Å, 90.00 137.97 90.00°
Positions (direct):
Ga  0.6917  0.7500  0.2236
Ga  0.3083  0.2500  0.7764
Ga  0.2385  0.2500  0.9923
Ga  0.7615  0.7500  0.0077
Sn  0.2013  0.2500  0.2250
Sn  0.7987  0.7500  0.7750
In  0.2646  0.2500  0.5069
In  0.7354  0.7500  0.4931

# 8
Here is a geometry-optimized InGa2Sn structure from Alexandria. Energies are from GGA-PBE.

Calculated values
Electronic total energy ... -3.16 eV per atom

Cell: 4.0420 4.8092 4.8092 Å, 90.00 90.00 90.00°
Positions (direct):
Ga  0.0000  0.5000  0.0000
Ga  0.0000  0.0000  0.5000
Sn  0.5000  0.0000  0.0000
In  0.5000  0.5000  0.5000

# 9
Here is a geometry-optimized In8GaSn5 structure from Alexandria. Energies are from GGA-PBE.

Calculated values
Electronic total energy ... -3.14 eV per atom

Cell: 7.9535 7.9535 7.9535 Å, 108.99 108.99 110.44°
Positions (direct):
In  0.0976  0.4883  0.7185
In  0.3398  0.4380  0.3063
In  0.7698  0.3791  0.2815
In  0.9665  0.6602  0.0982
In  0.1316  0.0335  0.6937
In  0.5620  0.8684  0.9018
In  0.5117  0.2302  0.6093
In  0.6209  0.9024  0.3907
Sn  0.3108  0.0037  0.0982
Sn  0.9963  0.0945  0.3072
Sn  0.5000  0.5000  0.0000
Sn  0.7873  0.6892  0.6928
Sn  0.9055  0.2127  0.9018
Ga  0.2500  0.7500  0.5000

# 10
Here is a geometry-optimized In2Ga9Sn structure from Alexandria. Energies are from GGA-PBE.

Calculated values
Electronic total energy ... -3.00 eV per atom

Cell: 4.3512 4.3512 13.1662 Å, 90.00 90.00 90.00°
Positions (direct):
Ga  0.5000  0.0000  0.5000
Ga  0.0000  0.5000  0.5000
Ga  0.0000  0.5000  0.8319
Ga  0.5000  0.0000  0.8319
Ga  0.5000  0.0000  0.1681
Ga  0.5000  0.5000  0.0000
Ga  0.0000  0.5000  0.1681
Ga  0.5000  0.5000  0.6637
Ga  0.5000  0.5000  0.3363
In  0.0000  0.0000  0.6667
In  0.0000  0.0000  0.3333
Sn  0.0000  0.0000  0.0000

# 11
Here is a geometry-optimized InGa3Sn3 structure from Alexandria. Energies are from GGA-PBE.

Calculated values
Electronic total energy ... -3.18 eV per atom

Cell: 7.6438 7.6438 7.6438 Å, 90.00 90.00 90.00°
Positions (direct):
In  0.0000  0.0000  0.0000
In  0.5000  0.5000  0.5000
Ga  0.0000  0.2500  0.5000
Ga  0.5000  0.0000  0.2500
Ga  0.0000  0.7500  0.5000
Ga  0.5000  0.0000  0.7500
Ga  0.7500  0.5000  0.0000
Ga  0.2500  0.5000  0.0000
Sn  0.0000  0.5000  0.2500
Sn  0.0000  0.5000  0.7500
Sn  0.5000  0.2500  0.0000
Sn  0.5000  0.7500  0.0000
Sn  0.2500  0.0000  0.5000
Sn  0.7500  0.0000  0.5000

# 12
Here is a geometry-optimized InGa2Sn structure from Alexandria. Energies are from GGA-PBE.

Calculated values
Electronic total energy ... -3.03 eV per atom

Cell: 5.2963 5.2963 8.7919 Å, 72.47 72.47 90.00°
Positions (direct):
Ga  0.1322  0.6250  0.2500
Ga  0.8750  0.8678  0.7500
Ga  0.6178  0.1250  0.2500
Ga  0.3750  0.3822  0.7500
Sn  0.0000  0.0000  0.0000
Sn  0.7500  0.2500  0.5000
In  0.5000  0.5000  0.0000
In  0.2500  0.7500  0.5000

# 13
Here is a geometry-optimized In17Ga11Sn structure from Alexandria. Energies are from GGA-PBE.

Calculated values
Electronic total energy ... -2.86 eV per atom

Cell: 9.1900 9.1900 9.3711 Å, 103.59 103.59 103.60°
Positions (direct):
In  0.6755  0.3701  0.3463
In  0.3701  0.6755  0.3463
In  0.7235  0.7235  0.6323
In  0.9813  0.9813  0.0131
In  0.6086  0.0118  0.3991
In  0.5866  0.3292  0.9803
In  0.3481  0.7448  0.6780
In  0.6768  0.6768  0.2318
In  0.9669  0.9669  0.4011
In  0.3603  0.9744  0.0299
In  0.3292  0.5866  0.9803
In  0.0118  0.6086  0.3991
In  0.9744  0.3603  0.0299
In  0.0836  0.3686  0.6417
In  0.4246  0.4246  0.6117
In  0.7448  0.3481  0.6780
In  0.3686  0.0836  0.6417
Ga  0.1045  0.7271  0.1399
Ga  0.0363  0.6543  0.8108
Ga  0.8972  0.0900  0.7014
Ga  0.6148  0.7982  0.9510
Ga  0.0900  0.8972  0.7014
Ga  0.6543  0.0363  0.8108
Ga  0.0327  0.2623  0.3174
Ga  0.2299  0.2299  0.8878
Ga  0.2623  0.0327  0.3174
Ga  0.7271  0.1045  0.1399
Ga  0.7982  0.6148  0.9510
Sn  0.3183  0.3183  0.2308

# 14
Here is a geometry-optimized InGaSn structure from Alexandria. Energies are from GGA-PBE.

Calculated values
Electronic total energy ... -3.17 eV per atom

Cell: 3.7047 3.7047 11.7483 Å, 99.07 99.07 90.00°
Positions (direct):
Ga  0.1299  0.1299  0.2599
Ga  0.8701  0.8701  0.7401
Sn  0.4335  0.4335  0.8670
Sn  0.5665  0.5665  0.1330
In  0.2918  0.2918  0.5836
In  0.7082  0.7082  0.4164

# 15
Here is a geometry-optimized InGaSn structure from Alexandria. Energies are from GGA-PBE.

Calculated values
Electronic total energy ... -3.20 eV per atom

Cell: 4.8545 4.8545 4.8545 Å, 60.00 60.00 60.00°
Positions (direct):
In  0.5000  0.5000  0.5000
Ga  0.2500  0.2500  0.2500
Sn  0.0000  0.0000  0.0000

# 16
Here is a geometry-optimized In9Ga2Sn structure from Alexandria. Energies are from GGA-PBE.

Calculated values
Electronic total energy ... -2.85 eV per atom

Cell: 4.4901 4.4896 15.3879 Å, 90.74 90.19 89.96°
Positions (direct):
Ga  0.0012  0.0034  0.6629
Ga  0.9988  0.9966  0.3371
In  0.5000  0.5000  0.0000
In  0.0000  0.5000  0.5000
In  0.5010  0.5028  0.6637
In  0.4990  0.4972  0.3363
In  0.5000  0.0000  0.5000
In  0.9994  0.4976  0.1741
In  0.4997  0.9970  0.1742
In  0.5003  0.0030  0.8258
In  0.0006  0.5024  0.8259
Sn  0.0000  0.0000  0.0000

# 17
Here is a geometry-optimized In12GaSn2 structure from Alexandria. Energies are from GGA-PBE.

Calculated values
Electronic total energy ... -2.82 eV per atom

Cell: 6.4263 6.4263 21.2047 Å, 90.00 90.00 90.00°
Positions (direct):
In  0.3268  0.8268  0.4356
In  0.7491  0.2491  0.9046
In  0.0000  0.0000  0.2041
In  0.2491  0.2509  0.9046
In  0.2509  0.2491  0.0954
In  0.0000  0.0000  0.6591
In  0.7491  0.7509  0.0954
In  0.6732  0.8268  0.5644
In  0.3268  0.1732  0.5644
In  0.8268  0.6732  0.4356
In  0.5000  0.5000  0.7959
In  0.0000  0.0000  0.7959
In  0.8268  0.3268  0.5644
In  0.1732  0.6732  0.5644
In  0.7509  0.2509  0.0954
In  0.5000  0.5000  0.3409
In  0.5000  0.5000  0.2041
In  0.0000  0.0000  0.3409
In  0.6732  0.1732  0.4356
In  0.1732  0.3268  0.4356
In  0.2491  0.7491  0.0954
In  0.5000  0.5000  0.6591
In  0.7509  0.7491  0.9046
In  0.2509  0.7509  0.9046
Sn  0.5000  0.0000  0.7829
Sn  0.0000  0.5000  0.7829
Sn  0.0000  0.5000  0.2171
Sn  0.5000  0.0000  0.2171
Ga  0.5000  0.0000  0.0000
Ga  0.0000  0.5000  0.0000

# 18
Here is a geometry-optimized In5Ga6Sn structure from Alexandria. Energies are from GGA-PBE.

Calculated values
Electronic total energy ... -2.94 eV per atom

Cell: 5.2001 7.9931 7.9931 Å, 106.11 107.00 107.00°
Positions (direct):
Ga  0.7472  0.5819  0.9151
Ga  0.7459  0.2518  0.2518
Ga  0.2528  0.4181  0.0849
Ga  0.7472  0.9151  0.5819
Ga  0.2528  0.0849  0.4181
Ga  0.2541  0.7482  0.7482
In  0.5000  0.8352  0.1648
In  0.0000  0.6670  0.3330
In  0.5000  0.5000  0.5000
In  0.5000  0.1648  0.8352
In  0.0000  0.3330  0.6670
Sn  0.0000  0.0000  0.0000

Results for M_tot: 0.000, 0.000, 0.000, 0.000, 0.000, 0.000, 0.000, 0.000, 0.000, 0.000, 0.000, 0.000, 0.000, 0.000, 0.000, 0.000, 0.000, 0.000 (in μB/cell, following the order of the records).